Here is Re2HgOs after structural relaxation from the Alexandria database. Energies are from PBE.

Lattice parameters (Å, degrees): 4.7478 4.7478 2.8580 90.00 90.00 90.00
Closest atoms and distances in Å follow each position.
Fractional positions:
Os 0.0000 0.5000 0.5000  8 Re 2.77, 2 Os 2.86
Re 0.0000 0.0000 0.0000  4 Os 2.77, 4 Hg 2.77, 2 Re 2.86
Hg 0.5000 0.0000 0.5000  8 Re 2.77, 2 Hg 2.86
Re 0.5000 0.5000 0.0000  4 Hg 2.77, 4 Os 2.77, 2 Re 2.86

- Formation energy from the elements: 1.0093 eV/atom
- Fermi-level density of states: 1.243 states/eV per atom
- Crystal system: tetragonal

Here is K2HgBi2 after structural relaxation from the Alexandria database. Energies are from PBE.

Lattice parameters (Å, degrees): 4.5738 4.5738 10.7111 77.67 77.67 90.00
Closest atoms and distances in Å follow each position.
Fractional positions:
Bi 0.7500 0.2500 0.5000  4 Bi 3.23
Hg 0.0000 0.0000 0.0000  8 K 3.89
K 0.3944 0.3944 0.2112  4 Bi 3.73, 4 Hg 3.89
Bi 0.2500 0.7500 0.5000  4 Bi 3.23
K 0.6056 0.6056 0.7888  4 Bi 3.73, 4 Hg 3.89

- Formation energy from the elements: -0.1639 eV/atom
- Fermi-level density of states: 0.814 states/eV per atom
- ΔE to the lowest computed polymorph: 134.9 meV per atom
- Crystal system: tetragonal

Here is UPaB4 after structural relaxation from the Alexandria database. Energies are from PBE.

Lattice parameters (Å, degrees): 4.6842 4.6842 4.6842 60.00 60.00 60.00
Closest atoms and distances in Å follow each position.
Fractional positions:
B 0.6560 0.6560 0.6560  3 B 1.76
Pa 0.2500 0.2500 0.2500  12 B 2.83, 4 U 2.87
B 0.6560 0.0319 0.6560  3 B 1.76
B 0.6560 0.6560 0.0319  3 B 1.76
U 0.0000 0.0000 0.0000  12 B 2.71, 4 Pa 2.87
B 0.0319 0.6560 0.6560  3 B 1.76

- Formation energy from the elements: 0.1599 eV/atom
- Fermi-level density of states: 0.923 states/eV per atom
- ΔE to the lowest computed polymorph: 506.9 meV per atom
- Crystal system: cubic

Here is ErHf2Zr3N6 after structural relaxation from the Alexandria database. Energies are from PBE.

Lattice parameters (Å, degrees): 3.2539 6.5673 7.3051 103.00 102.87 90.00
Closest atoms and distances in Å follow each position.
Fractional positions:
N 0.6695 0.0939 0.3390  2 Hf 2.27, 3 Zr 2.28-2.36, 1 Er 2.35
Zr 0.5000 0.5000 0.0000  6 N 2.28-2.35
Zr 0.8341 0.1682 0.6681  6 N 2.28-2.36
N 0.9956 0.7416 0.9912  1 Hf 2.25, 3 Zr 2.28-2.36, 2 Er 2.34
Hf 0.8333 0.6659 0.6665  6 N 2.25-2.27
N 0.0044 0.2584 0.0088  1 Hf 2.25, 3 Zr 2.28-2.36, 2 Er 2.34
N 0.6694 0.5758 0.3389  3 Hf 2.27, 3 Zr 2.35
Er 0.5000 0.0000 0.0000  6 N 2.34-2.35
N 0.3306 0.4242 0.6611  3 Hf 2.27, 3 Zr 2.35
Hf 0.1667 0.3341 0.3335  6 N 2.25-2.27
Zr 0.1659 0.8318 0.3319  6 N 2.28-2.36
N 0.3305 0.9061 0.6610  2 Hf 2.27, 3 Zr 2.28-2.36, 1 Er 2.35

- Fermi-level density of states: 0.238 states/eV per atom
- Crystal system: monoclinic

Here is TbTmPt after structural relaxation from the Alexandria database. Energies are from PBE.

Lattice parameters (Å, degrees): 4.8339 4.8339 8.4039 73.29 73.29 60.00
Closest atoms and distances in Å follow each position.
Fractional positions:
Pt 0.2514 0.2514 0.2458  4 Tm 2.92-2.96, 4 Tb 2.96-3.03
Tb 0.1239 0.1239 0.6282  4 Pt 2.96-3.03
Pt 0.7486 0.7486 0.7542  4 Tm 2.92-2.96, 4 Tb 2.96-3.03
Tm 0.6260 0.6260 0.1219  4 Pt 2.92-2.96
Tb 0.8761 0.8761 0.3718  4 Pt 2.96-3.03
Tm 0.3740 0.3740 0.8781  4 Pt 2.92-2.96

- Formation energy from the elements: -0.8883 eV/atom
- Fermi-level density of states: 0.760 states/eV per atom
- ΔE to the lowest computed polymorph: 15.6 meV per atom
- Crystal system: trigonal

Here is DyTmInPd after structural relaxation from the Alexandria database. Energies are from PBE.

Lattice parameters (Å, degrees): 5.1248 5.1248 5.1248 60.00 60.00 60.00
Closest atoms and distances in Å follow each position.
Fractional positions:
In 0.0000 0.0000 0.0000  4 Tm 3.14, 4 Dy 3.14
Pd 0.5000 0.5000 0.5000  4 Dy 3.14, 4 Tm 3.14
Tm 0.2500 0.2500 0.2500  4 In 3.14, 4 Pd 3.14
Dy 0.7500 0.7500 0.7500  4 Pd 3.14, 4 In 3.14

- Formation energy from the elements: -0.6137 eV/atom
- Fermi-level density of states: 0.898 states/eV per atom
- Crystal system: cubic

Here is CeEuFe4 after structural relaxation from the Alexandria database. Energies are from PBE.

Lattice parameters (Å, degrees): 5.1641 5.1641 5.1641 60.00 60.00 60.00
Closest atoms and distances in Å follow each position.
Fractional positions:
Fe 0.6245 0.1266 0.6245  6 Fe 2.57-2.59
Fe 0.6245 0.6245 0.6245  6 Fe 2.57-2.59
Ce 0.2500 0.2500 0.2500  12 Fe 3.03, 4 Eu 3.16
Fe 0.6245 0.6245 0.1266  6 Fe 2.57-2.59
Fe 0.1266 0.6245 0.6245  6 Fe 2.57-2.59
Eu 0.0000 0.0000 0.0000  12 Fe 3.03, 4 Ce 3.16

- Formation energy from the elements: 0.1329 eV/atom
- Fermi-level density of states: 2.464 states/eV per atom
- Crystal system: cubic

Here is CaSn4Pd6 after structural relaxation from the Alexandria database. Energies are from PBE.

Lattice parameters (Å, degrees): 4.1471 7.7627 7.7627 120.00 90.00 90.00
Closest atoms and distances in Å follow each position.
Fractional positions:
Pd 0.0000 0.5368 0.4632  5 Sn 2.74-2.77, 2 Pd 3.03
Pd 0.0000 0.9265 0.4632  5 Sn 2.74-2.77, 2 Pd 3.03
Sn 0.5000 0.8099 0.6198  6 Pd 2.64-2.77
Pd 0.5000 0.2025 0.4051  4 Sn 2.64-2.72
Sn 0.5000 0.8099 0.1901  6 Pd 2.64-2.77
Ca 0.0000 0.0000 0.0000  6 Sn 3.29, 6 Pd 3.42
Pd 0.0000 0.5368 0.0735  5 Sn 2.74-2.77, 2 Pd 3.03
Sn 0.5000 0.3802 0.1901  6 Pd 2.64-2.77
Sn 0.0000 0.3333 0.6667  9 Pd 2.72-2.74
Pd 0.5000 0.5949 0.7975  4 Sn 2.64-2.72
Pd 0.5000 0.2025 0.7975  4 Sn 2.64-2.72

- Formation energy from the elements: -0.6117 eV/atom
- Fermi-level density of states: 0.303 states/eV per atom
- ΔE to the lowest computed polymorph: 0.0 meV per atom
- Crystal system: hexagonal

Here is BeAlCl2 after structural relaxation from the Alexandria database. Energies are from PBE.

Lattice parameters (Å, degrees): 4.8288 4.8288 4.8288 60.00 60.00 60.00
Closest atoms and distances in Å follow each position.
Fractional positions:
Be 0.7500 0.7500 0.7500  4 Cl 2.96, 4 Al 2.96
Al 0.5000 0.5000 0.5000  4 Cl 2.96, 4 Be 2.96
Cl 0.0000 0.0000 0.0000  4 Be 2.96, 4 Cl 2.96
Cl 0.2500 0.2500 0.2500  4 Cl 2.96, 4 Al 2.96

- Fermi-level density of states: 0.614 states/eV per atom
- ΔE to the lowest computed polymorph: 1148.5 meV per atom
- Crystal system: cubic

Here is Tb5Dy3Er after structural relaxation from the Alexandria database. Energies are from PBE.

Lattice parameters (Å, degrees): 9.4503 9.4503 11.5400 52.83 52.83 74.34
Closest atoms and distances in Å follow each position.
Fractional positions:
Tb 0.3433 0.8472 0.2541  2 Tb 3.30-3.37, 2 Dy 3.46-3.53
Tb 0.8177 0.8177 0.9593  3 Dy 3.12-3.32, 3 Tb 3.26-3.30, 1 Er 3.29
Dy 0.6904 0.6904 0.8189  1 Dy 3.04, 5 Tb 3.18-3.35, 1 Er 3.38
Tb 0.4906 0.4906 0.2337  3 Dy 3.18-3.33, 3 Tb 3.26-3.37, 1 Er 3.35
Er 0.1507 0.1507 0.5979  4 Dy 3.21-3.38, 2 Tb 3.29-3.35
Tb 0.1823 0.1823 0.0407  3 Dy 3.12-3.32, 3 Tb 3.26-3.30, 1 Er 3.29
Dy 0.3398 0.3398 0.6418  2 Dy 3.17-3.35, 4 Tb 3.20-3.53, 1 Er 3.25
Dy 0.0000 0.0000 0.5000  2 Dy 3.04, 2 Er 3.21
Tb 0.1528 0.6567 0.7459  2 Tb 3.30-3.37, 2 Dy 3.46-3.53
Tb 0.6567 0.1528 0.7459  2 Tb 3.30-3.37, 2 Dy 3.46-3.53
Tb 0.2563 0.7437 0.0000  1 Dy 2.93
Tb 0.7437 0.2563 0.0000  1 Dy 2.93
Dy 0.6602 0.6602 0.3582  2 Dy 3.17-3.35, 4 Tb 3.20-3.53, 1 Er 3.25
Tb 0.8472 0.3433 0.2541  2 Tb 3.30-3.37, 2 Dy 3.46-3.53
Er 0.8493 0.8493 0.4021  4 Dy 3.21-3.38, 2 Tb 3.29-3.35
Dy 0.0000 0.0000 0.0000  4 Tb 2.93-3.12, 2 Er 3.27
Tb 0.5094 0.5094 0.7663  3 Dy 3.18-3.33, 3 Tb 3.26-3.37, 1 Er 3.35
Dy 0.3096 0.3096 0.1811  1 Dy 3.04, 5 Tb 3.18-3.35, 1 Er 3.38

- Formation energy from the elements: 0.5205 eV/atom
- Fermi-level density of states: 1.390 states/eV per atom
- Crystal system: monoclinic

no.,raw total energy (eV per atom)
1,-8.0976
2,-2.2156
3,-7.7557
4,-10.0768
5,-5.9358
6,-4.8649
7,-8.2103
8,-5.0817
9,-2.2925
10,-4.0929